Entry 1:
Density functional theory data (PBE) for a relaxed structure of NdPuOs.

Structure (extended XYZ):
```
12
Lattice="-0.727 1.994 -3.743 -2.951 -5.541 0.094 -8.579 6.388 5.069" Properties=species:S:1:pos:R:3 pbc="T T T"
Pu -9.078 4.773 4.306
Pu -7.486 2.303 0.208
Pu -3.179 -1.933 -2.885
Pu -4.771 0.538 1.213
Os -3.186 -1.459 -0.158
Os -9.070 4.299 1.579
Os -4.736 2.979 0.034
Os -7.521 -0.139 1.387
Nd -9.788 1.516 2.709
Nd -2.469 1.325 -1.288
Nd -6.145 3.398 3.004
Nd -6.112 -0.558 -1.583
```

Calculated values
Calculated formation energy   -0.036 eV per atom
Raw total energy   -0.3729 Ha/atom
Energy relative to the lowest polymorph listed for this composition   0.12 eV/f.u.


Entry 2:
Density functional theory data (PBE) for a relaxed structure of FeMoCl2.

Structure (extended XYZ):
```
4
Lattice="4.630 -0.327 0.000 0.439 4.621 0.000 -2.535 -2.147 3.242" Properties=species:S:1:pos:R:3 pbc="T T T"
Cl 0.000 0.000 0.000
Cl 0.220 2.310 1.621
Mo 2.315 -0.164 1.621
Fe 2.535 2.147 0.000
```

Calculated values
Raw total energy   -0.1814 Ha/atom
Energy relative to the lowest polymorph listed for this composition   4.08 eV/f.u.


Entry 3:
Density functional theory data (PBE) for a relaxed structure of K2AsOs.

Structure (extended XYZ):
```
4
Lattice="-7.097 1.054 7.375 -8.407 -1.407 5.764 1.371 -2.471 2.660" Properties=species:S:1:pos:R:3 pbc="T T T"
Os -10.600 -2.118 11.849
As -3.533 -0.706 3.950
K -0.364 -2.244 3.723
K -5.332 -1.639 6.837
```

Calculated values
Calculated formation energy   0.414 eV per atom
Raw total energy   -0.1508 Ha/atom


Entry 4:
Density functional theory data (PBE) for a relaxed structure of Li2Nd2TmTl2.

Structure (extended XYZ):
```
7
Lattice="-4.479 0.719 1.684 -3.760 -2.193 -2.113 -1.765 -7.621 5.510" Properties=species:S:1:pos:R:3 pbc="T T T"
Tm 0.000 0.000 0.000
Li -4.675 -6.926 4.426
Li -5.330 -2.170 0.655
Nd -2.135 -4.930 3.376
Nd -7.869 -4.166 1.705
Tl -7.453 -7.187 4.100
Tl -2.551 -1.909 0.981
```

Calculated values
Calculated formation energy   -0.184 eV per atom
Raw total energy   -0.1252 Ha/atom


Entry 5:
Density functional theory data (PBE) for a relaxed structure of KTlCd2.

Structure (extended XYZ):
```
4
Lattice="-4.380 -3.140 2.650 1.973 -1.125 5.559 -0.925 4.958 -3.261" Properties=species:S:1:pos:R:3 pbc="T T T"
Cd -2.384 -4.225 8.132
Cd -3.330 -0.293 2.007
K -1.212 -2.149 4.135
Tl -0.015 0.960 2.989
```

Calculated values
Calculated formation energy   -0.003 eV per atom
Raw total energy   -0.0487 Ha/atom
Energy relative to the lowest polymorph listed for this composition   0.25 eV/f.u.


Entry 6:
Density functional theory data (PBE) for a relaxed structure of Ti3PdRh.

Structure (extended XYZ):
```
5
Lattice="-0.848 4.470 -1.019 -4.524 -0.647 0.925 0.746 1.157 4.455" Properties=species:S:1:pos:R:3 pbc="T T T"
Pd -2.313 2.490 2.181
Ti -2.262 -0.324 0.463
Ti -0.424 2.235 -0.510
Ti 0.373 0.579 2.228
Rh 0.000 0.000 0.000
```

Calculated values
Calculated formation energy   0.342 eV per atom
Raw total energy   -0.2537 Ha/atom
Energy relative to the lowest polymorph listed for this composition   3.53 eV/f.u.


Entry 7:
Density functional theory data (PBE) for a relaxed structure of ThHgPd4.

Structure (extended XYZ):
```
6
Lattice="5.431 0.000 0.000 2.715 4.703 0.000 2.715 1.568 4.434" Properties=species:S:1:pos:R:3 pbc="T T T"
Pd 5.431 1.562 2.773
Pd 4.068 3.922 2.773
Pd 5.431 3.135 0.548
Pd 6.793 3.922 2.773
Th 2.715 1.568 1.109
Hg 0.000 0.000 0.000
```

Calculated values
Calculated formation energy   -0.667 eV per atom
Raw total energy   -0.1990 Ha/atom


Entry 8:
Density functional theory data (PBE) for a relaxed structure of TeRuSe2.

Structure (extended XYZ):
```
4
Lattice="8.073 -2.414 0.709 8.061 -0.524 -2.496 8.322 1.299 0.737" Properties=species:S:1:pos:R:3 pbc="T T T"
Se 2.806 -0.188 -0.121
Se 21.651 -1.451 -0.930
Ru 12.228 -0.819 -0.525
Te 0.000 0.000 0.000
```

Calculated values
Raw total energy   -0.1797 Ha/atom


Entry 9:
Density functional theory data (PBE) for a relaxed structure of CePr15Ho4.

Structure (extended XYZ):
```
20
Lattice="5.200 0.000 0.000 0.000 5.200 0.000 0.000 0.000 25.883" Properties=species:S:1:pos:R:3 pbc="T T T"
Ho 0.000 0.000 15.527
Ho 0.000 0.000 10.356
Ho 0.000 0.000 20.696
Ho 0.000 0.000 5.187
Ce 0.000 0.000 0.000
Pr 2.600 2.600 0.000
Pr 2.600 0.000 7.767
Pr 2.600 0.000 12.941
Pr 0.000 2.600 7.767
Pr 0.000 2.600 23.301
Pr 0.000 2.600 2.582
Pr 0.000 2.600 12.941
Pr 2.600 0.000 2.582
Pr 2.600 2.600 20.665
Pr 2.600 2.600 10.366
Pr 0.000 2.600 18.116
Pr 2.600 2.600 15.516
Pr 2.600 2.600 5.217
Pr 2.600 0.000 18.116
Pr 2.600 0.000 23.301
```

Calculated values
Calculated formation energy   0.027 eV per atom
Raw total energy   -0.1753 Ha/atom


Entry 10:
Density functional theory data (PBE) for a relaxed structure of Pm5Sn2O12.

Structure (extended XYZ):
```
19
Lattice="6.152 0.000 0.000 -3.076 6.153 -1.899 0.000 -0.002 7.580" Properties=species:S:1:pos:R:3 pbc="T T T"
O 4.507 2.059 0.025
O 1.645 2.059 0.025
O 0.000 6.134 -0.465
O 3.076 0.017 6.146
O 1.545 4.257 1.923
O -1.431 4.092 5.656
O 1.531 1.894 3.759
O -1.545 4.257 1.923
O 0.000 0.014 6.150
O 1.431 4.092 5.656
O 3.076 6.137 -0.469
O 4.621 1.894 3.759
Pm 0.000 3.720 3.709
Pm 0.000 3.736 0.078
Pm 3.076 2.431 1.972
Pm 3.076 2.416 5.603
Pm 0.000 -0.001 3.790
Sn 4.645 0.000 0.000
Sn 1.507 0.000 0.000
```

Calculated values
Raw total energy   -0.2785 Ha/atom


Entry 11:
Density functional theory data (PBE) for a relaxed structure of TbHo4Se5.

Structure (extended XYZ):
```
10
Lattice="4.057 0.000 0.000 0.000 4.057 0.000 -2.028 -2.028 14.417" Properties=species:S:1:pos:R:3 pbc="T T T"
Ho 2.028 2.028 2.819
Ho 2.028 2.028 8.553
Ho 0.000 0.000 5.865
Ho 0.000 0.000 11.598
Se 0.000 0.000 8.717
Se 0.000 0.000 2.937
Se 2.028 2.028 11.480
Se 2.028 2.028 0.000
Se 2.028 2.028 5.700
Tb 0.000 0.000 0.000
```

Calculated values
Raw total energy   -0.2119 Ha/atom